(1)
First-principles (PBE) data for a relaxed RbMgSiAs2 crystal, as listed in the Alexandria database. Values from VASP.

Output
- Spin magnetization: 0.0 μB per formula unit
- DOS(E_F): 1.25 states/eV/atom
- Crystal system: tetragonal
- VASP energy: -0.1306 Ry per atom
- SG: No. 123

```
&SYSTEM
  ibrav = 0, nat = 5, ntyp = 4
/
ATOMIC_SPECIES
Rb 85.47 Rb.upf
Mg 24.30 Mg.upf
Si 28.09 Si.upf
As 74.92 As.upf
CELL_PARAMETERS angstrom
5.6222 0.0000 0.0000
0.0000 5.6222 0.0000
0.0000 0.0000 5.4132
ATOMIC_POSITIONS crystal
Rb 0.0000 0.0000 0.0000
Mg 0.5000 0.5000 0.5000
Si 0.0000 0.0000 0.5000
As 0.0000 0.5000 0.0000
As 0.5000 0.0000 0.0000
```



(2)
First-principles (PBE) data for a relaxed Sr3Ta crystal, as listed in the Alexandria database. Values from VASP.

Output
- Spin magnetization: 3.3 μB per formula unit
- DOS(E_F): 0.91 states/eV/atom
- E_form: 346 kJ/mol of formula units
- Crystal system: tetragonal
- Energy relative to the lowest polymorph listed for this composition: 0.416 eV/atom
- VASP energy: -0.2446 Ry per atom
- SG: No. 139

```
&SYSTEM
  ibrav = 0, nat = 8, ntyp = 2
/
ATOMIC_SPECIES
Sr 87.62 Sr.upf
Ta 180.95 Ta.upf
CELL_PARAMETERS angstrom
5.3791 0.0000 0.0000
0.0000 5.3791 0.0000
0.0000 0.0000 10.5882
ATOMIC_POSITIONS crystal
Sr 0.0000 0.0000 0.0000
Sr 0.0000 0.5000 0.2500
Sr 0.0000 0.5000 0.7500
Sr 0.5000 0.0000 0.2500
Sr 0.5000 0.0000 0.7500
Sr 0.5000 0.5000 0.5000
Ta 0.0000 0.0000 0.5000
Ta 0.5000 0.5000 0.0000
```



(3)
First-principles (PBE) data for a relaxed LaYCuAg crystal, as listed in the Alexandria database. Values from VASP.

Output
- Spin magnetization: 0.0 μB per formula unit
- DOS(E_F): 1.08 states/eV/atom
- E_form: -77 kJ/mol of formula units
- Crystal system: cubic
- Energy relative to the lowest polymorph listed for this composition: 0.041 eV/atom
- VASP energy: -0.3516 Ry per atom
- SG: No. 216

```
&SYSTEM
  ibrav = 0, nat = 16, ntyp = 4
/
ATOMIC_SPECIES
La 138.91 La.upf
Y 88.91 Y.upf
Cu 63.55 Cu.upf
Ag 107.87 Ag.upf
CELL_PARAMETERS angstrom
7.3457 0.0000 0.0000
0.0000 7.3457 0.0000
0.0000 0.0000 7.3457
ATOMIC_POSITIONS crystal
La 0.0000 0.0000 0.0000
La 0.0000 0.5000 0.5000
La 0.5000 0.0000 0.5000
La 0.5000 0.5000 0.0000
Y 0.0000 0.0000 0.5000
Y 0.0000 0.5000 0.0000
Y 0.5000 0.0000 0.0000
Y 0.5000 0.5000 0.5000
Cu 0.2500 0.2500 0.7500
Cu 0.2500 0.7500 0.2500
Cu 0.7500 0.2500 0.2500
Cu 0.7500 0.7500 0.7500
Ag 0.2500 0.2500 0.2500
Ag 0.2500 0.7500 0.7500
Ag 0.7500 0.2500 0.7500
Ag 0.7500 0.7500 0.2500
```